EuAlGa2 GGA-PBE relaxed; raw total energy = -5.34 eV/atom; Fermi-level density of states = 3.09 states/eV per cell; symmetry = No. 123; theoretical density = 6.38 g cm⁻³; energy of formation = -320.3 meV/atom
1.0
4.385 0.000 0.000
0.000 4.385 0.000
0.000 0.000 4.311
Eu Al Ga
1 1 2
direct
0.000 0.000 0.000
0.500 0.500 0.000
0.000 0.500 0.500
0.500 0.000 0.500